1.
The following is a PBE-GGA calculation of Dy8SnSe6 after structural relaxation, from Alexandria.

Output
Formation energy without anion corrections: -1.3381 eV/atom
Magnetization: 0.000 μB per atom
SG: P-3, No. 147

POSCAR file:
```
Dy8SnSe6
1.0
10.534 0.000 0.000
-5.267 9.122 0.000
0.000 0.000 4.046
Dy Sn Se
8 1 6
direct
0.035 0.714 0.252
0.286 0.321 0.252
0.321 0.035 0.748
0.333 0.667 0.749
0.667 0.333 0.251
0.679 0.965 0.252
0.714 0.679 0.748
0.965 0.286 0.748
0.000 0.000 0.500
0.131 0.483 0.251
0.351 0.869 0.251
0.483 0.351 0.749
0.517 0.649 0.251
0.649 0.131 0.749
0.869 0.517 0.749
```

***

2.
The following is a PBE-GGA calculation of Pm5PrEr3 after structural relaxation, from Alexandria.

Output
DFT formation energy: 128 meV/atom
Polymorph energy (0 for the lowest one): 0.0 meV per atom
Magnetization: 0.000 μB per atom
SG: Cmcm, No. 63

POSCAR file:
```
Pm5PrEr3
1.0
8.810 -4.690 0.000
8.810 4.690 0.000
0.000 0.000 7.295
Pm Pr Er
10 2 6
direct
0.011 0.658 0.001
0.011 0.658 0.499
0.166 0.834 0.750
0.342 0.989 0.001
0.342 0.989 0.499
0.658 0.011 0.501
0.658 0.011 0.999
0.834 0.166 0.250
0.989 0.342 0.501
0.989 0.342 0.999
0.200 0.800 0.250
0.800 0.200 0.750
0.322 0.322 0.250
0.322 0.322 0.750
0.500 0.500 0.000
0.500 0.500 0.500
0.678 0.678 0.250
0.678 0.678 0.750
```

***

3.
The following is a PBE-GGA calculation of Ga5Sn3Br12 after structural relaxation, from Alexandria.

Output
Formation energy without anion corrections: -0.5089 eV/atom
Magnetization: 0.000 μB per atom
SG: Ia-3d, No. 230

POSCAR file:
```
Ga5Sn3Br12
1.0
-8.845 8.845 8.845
8.845 -8.845 8.845
8.845 8.845 -8.845
Ga Sn Br
20 12 48
direct
0.000 0.000 0.000
0.000 0.000 0.500
0.000 0.500 0.000
0.000 0.500 0.500
0.125 0.750 0.875
0.125 0.875 0.250
0.250 0.125 0.875
0.250 0.625 0.375
0.375 0.250 0.625
0.375 0.625 0.750
0.500 0.000 0.000
0.500 0.000 0.500
0.500 0.500 0.000
0.500 0.500 0.500
0.625 0.375 0.250
0.625 0.750 0.375
0.750 0.375 0.625
0.750 0.875 0.125
0.875 0.125 0.750
0.875 0.250 0.125
0.125 0.250 0.375
0.125 0.375 0.750
0.250 0.375 0.125
0.250 0.875 0.625
0.375 0.125 0.250
0.375 0.750 0.125
0.625 0.250 0.875
0.625 0.875 0.750
0.750 0.125 0.375
0.750 0.625 0.875
0.875 0.625 0.250
0.875 0.750 0.625
0.051 0.230 0.130
0.051 0.321 0.921
0.079 0.630 0.400
0.079 0.949 0.679
0.100 0.730 0.679
0.100 0.870 0.421
0.130 0.051 0.230
0.130 0.579 0.900
0.179 0.230 0.600
0.179 0.449 0.579
0.230 0.130 0.051
0.230 0.600 0.179
0.270 0.321 0.900
0.270 0.449 0.370
0.321 0.900 0.270
0.321 0.921 0.051
0.370 0.270 0.449
0.370 0.600 0.921
0.400 0.079 0.630
0.400 0.821 0.770
0.421 0.100 0.870
0.421 0.821 0.551
0.449 0.370 0.270
0.449 0.579 0.179
0.551 0.421 0.821
0.551 0.630 0.730
0.579 0.179 0.449
0.579 0.900 0.130
0.600 0.179 0.230
0.600 0.921 0.370
0.630 0.400 0.079
0.630 0.730 0.551
0.679 0.079 0.949
0.679 0.100 0.730
0.730 0.551 0.630
0.730 0.679 0.100
0.770 0.400 0.821
0.770 0.870 0.949
0.821 0.551 0.421
0.821 0.770 0.400
0.870 0.421 0.100
0.870 0.949 0.770
0.900 0.130 0.579
0.900 0.270 0.321
0.921 0.051 0.321
0.921 0.370 0.600
0.949 0.679 0.079
0.949 0.770 0.870
```

***

4.
The following is a PBE-GGA calculation of Ca3EuCd after structural relaxation, from Alexandria.

Output
DFT formation energy: 30 meV/atom
Magnetization: 1.552 μB per atom
SG: Pm-3m, No. 221

POSCAR file:
```
Ca3EuCd
1.0
6.007 0.000 0.000
0.000 6.007 0.000
0.000 0.000 6.007
Ca Eu Cd
3 1 1
direct
0.000 0.000 0.500
0.000 0.500 0.000
0.500 0.000 0.000
0.500 0.500 0.500
0.000 0.000 0.000
```

***

5.
The following is a PBE-GGA calculation of SrIn3Br12 after structural relaxation, from Alexandria.

Output
Formation energy without anion corrections: -0.9245 eV/atom
Magnetization: 0.058 μB per atom
SG: R3c, No. 161

POSCAR file:
```
SrIn3Br12
1.0
5.983 3.454 11.846
-5.983 3.454 11.846
0.000 -6.909 11.846
Sr In Br
2 6 24
direct
0.000 0.000 0.000
0.500 0.500 0.500
0.155 0.801 0.386
0.301 0.655 0.886
0.386 0.155 0.801
0.655 0.886 0.301
0.801 0.386 0.155
0.886 0.301 0.655
0.041 0.051 0.714
0.051 0.714 0.041
0.166 0.195 0.820
0.195 0.820 0.166
0.214 0.551 0.541
0.320 0.695 0.666
0.331 0.350 0.836
0.336 0.850 0.831
0.350 0.836 0.331
0.428 0.998 0.448
0.448 0.428 0.998
0.498 0.928 0.948
0.541 0.214 0.551
0.551 0.541 0.214
0.666 0.320 0.695
0.695 0.666 0.320
0.714 0.041 0.051
0.820 0.166 0.195
0.831 0.336 0.850
0.836 0.331 0.350
0.850 0.831 0.336
0.928 0.948 0.498
0.948 0.498 0.928
0.998 0.448 0.428
```

***

6.
The following is a PBE-GGA calculation of Cs2TlIBr3 after structural relaxation, from Alexandria.

Output
Formation energy without anion corrections: -1.2167 eV/atom
Magnetization: 0.000 μB per atom
SG: Immm, No. 71

POSCAR file:
```
Cs2TlIBr3
1.0
-2.940 3.028 9.331
2.940 -3.028 9.331
2.940 3.028 -9.331
Cs Tl I Br
2 1 1 3
direct
0.146 0.146 0.000
0.854 0.854 0.000
0.500 0.500 0.000
0.000 0.500 0.500
0.337 0.337 0.000
0.500 0.000 0.500
0.663 0.663 0.000
```

***

7.
The following is a PBE-GGA calculation of Y4FeCo after structural relaxation, from Alexandria.

Output
DFT formation energy: 1074 meV/atom
Magnetization: 0.715 μB per atom
SG: F-43m, No. 216

POSCAR file:
```
Y4FeCo
1.0
0.000 4.307 4.307
4.307 0.000 4.307
4.307 4.307 0.000
Y Fe Co
4 1 1
direct
0.125 0.125 0.125
0.125 0.125 0.624
0.125 0.624 0.125
0.624 0.125 0.125
0.500 0.500 0.500
0.750 0.750 0.750
```

***

8.
The following is a PBE-GGA calculation of Tb11In9Hg4 after structural relaxation, from Alexandria.

Output
DFT formation energy: -460 meV/atom
Magnetization: 0.000 μB per atom
SG: Cmmm, No. 65

POSCAR file:
```
Tb11In9Hg4
1.0
7.486 -11.319 0.000
7.486 11.319 0.000
0.000 0.000 3.752
Tb In Hg
11 9 4
direct
0.000 0.000 0.000
0.059 0.410 0.000
0.161 0.839 0.000
0.287 0.287 0.000
0.361 0.639 0.000
0.410 0.059 0.000
0.590 0.941 0.000
0.639 0.361 0.000
0.713 0.713 0.000
0.839 0.161 0.000
0.941 0.590 0.000
0.060 0.211 0.500
0.153 0.633 0.500
0.211 0.060 0.500
0.367 0.847 0.500
0.500 0.500 0.500
0.633 0.153 0.500
0.789 0.940 0.500
0.847 0.367 0.500
0.940 0.789 0.500
0.250 0.448 0.500
0.448 0.250 0.500
0.552 0.750 0.500
0.750 0.552 0.500
```